# GGA-PBE ScSi2W, optimized geometry
# - Uncorrected energy: -30.44 eV/cell
# - Formation energy from raw total energies: -0.078 eV/atom
# - Crystal system: orthorhombic
data_ScSi2W
_space_group_name_H-M_alt 'P 1'
_space_group_IT_number 1
_cell_length_a 4.7039
_cell_length_b 4.7039
_cell_length_c 2.9168
_cell_angle_alpha 90.00
_cell_angle_beta 90.00
_cell_angle_gamma 106.49
loop_
_space_group_symop_operation_xyz
'x,y,z'
loop_
_atom_site_label
_atom_site_fract_x
_atom_site_fract_y
_atom_site_fract_z
Sc1 0.0000 0.0000 0.0000
Si1 0.0000 0.5000 0.5000
Si2 0.5000 0.0000 0.5000
W1 0.5000 0.5000 0.0000

# GGA-PBE PmErHg, optimized geometry
# - DFT formation energy: -9.6 kJ/mol of atoms
# - Uncorrected energy: -9.91 eV/cell
# - Crystal system: cubic
data_PmErHg
_space_group_name_H-M_alt 'P 1'
_space_group_IT_number 1
_cell_length_a 5.1449
_cell_length_b 5.1449
_cell_length_c 5.1449
_cell_angle_alpha 60.00
_cell_angle_beta 60.00
_cell_angle_gamma 60.00
loop_
_space_group_symop_operation_xyz
'x,y,z'
loop_
_atom_site_label
_atom_site_fract_x
_atom_site_fract_y
_atom_site_fract_z
Pm1 0.0000 0.0000 0.0000
Er1 0.5000 0.5000 0.5000
Hg1 0.2500 0.2500 0.2500

# GGA-PBE YScIr2, optimized geometry
# - DFT formation energy: -57.9 kJ/mol of atoms
# - Uncorrected energy: -32.92 eV/cell
# - Crystal system: tetragonal
data_YScIr2
_space_group_name_H-M_alt 'P 1'
_space_group_IT_number 1
_cell_length_a 5.5567
_cell_length_b 5.5567
_cell_length_c 5.5567
_cell_angle_alpha 138.31
_cell_angle_beta 138.31
_cell_angle_gamma 60.43
loop_
_space_group_symop_operation_xyz
'x,y,z'
loop_
_atom_site_label
_atom_site_fract_x
_atom_site_fract_y
_atom_site_fract_z
Y1 0.0000 0.0000 0.0000
Sc1 0.7500 0.2500 0.5000
Ir1 0.2500 0.7500 0.5000
Ir2 0.5000 0.5000 0.0000

# GGA-PBE TbDy2YSe6, optimized geometry
# - Uncorrected energy: -59.78 eV/cell
# - Formation energy from raw total energies: -1.857 eV/atom
# - Crystal system: trigonal
data_TbDy2YSe6
_space_group_name_H-M_alt 'P 1'
_space_group_IT_number 1
_cell_length_a 7.7130
_cell_length_b 7.7130
_cell_length_c 7.7130
_cell_angle_alpha 55.78
_cell_angle_beta 55.78
_cell_angle_gamma 55.78
loop_
_space_group_symop_operation_xyz
'x,y,z'
loop_
_atom_site_label
_atom_site_fract_x
_atom_site_fract_y
_atom_site_fract_z
Tb1 0.0000 0.0000 0.0000
Dy1 0.3035 0.3035 0.3035
Dy2 0.8038 0.8038 0.8038
Y1 0.4996 0.4996 0.4996
Se1 0.0957 0.4037 0.7047
Se2 0.2057 0.9026 0.5956
Se3 0.4037 0.7047 0.0957
Se4 0.5956 0.2057 0.9026
Se5 0.7047 0.0957 0.4037
Se6 0.9026 0.5956 0.2057

# GGA-PBE EuTm2Be, optimized geometry
# - DFT formation energy: 32.6 kJ/mol of atoms
# - Uncorrected energy: -21.59 eV/cell
# - Crystal system: trigonal
data_EuTm2Be
_space_group_name_H-M_alt 'P 1'
_space_group_IT_number 1
_cell_length_a 10.9026
_cell_length_b 10.9026
_cell_length_c 10.9026
_cell_angle_alpha 18.52
_cell_angle_beta 18.52
_cell_angle_gamma 18.52
loop_
_space_group_symop_operation_xyz
'x,y,z'
loop_
_atom_site_label
_atom_site_fract_x
_atom_site_fract_y
_atom_site_fract_z
Eu1 0.0000 0.0000 0.0000
Tm1 0.1082 0.1082 0.1082
Tm2 0.8918 0.8918 0.8918
Be1 0.5000 0.5000 0.5000

# GGA-PBE CsKTeO4, optimized geometry
# - Uncorrected energy: -69.36 eV/cell
# - Formation energy from raw total energies: -1.394 eV/atom
# - Crystal system: monoclinic
data_CsKTeO4
_space_group_name_H-M_alt 'P 1'
_space_group_IT_number 1
_cell_length_a 6.7320
_cell_length_b 6.8325
_cell_length_c 8.0132
_cell_angle_alpha 90.00
_cell_angle_beta 108.19
_cell_angle_gamma 90.00
loop_
_space_group_symop_operation_xyz
'x,y,z'
loop_
_atom_site_label
_atom_site_fract_x
_atom_site_fract_y
_atom_site_fract_z
Cs1 0.1985 0.2500 0.4350
Cs2 0.8015 0.7500 0.5650
K1 0.3150 0.2500 0.9687
K2 0.6850 0.7500 0.0313
Te1 0.2372 0.7500 0.1763
Te2 0.7628 0.2500 0.8237
O1 0.0688 0.7500 0.3198
O2 0.0692 0.7500 0.9446
O3 0.4151 0.5358 0.2188
O4 0.4151 0.9642 0.2188
O5 0.5849 0.0358 0.7812
O6 0.5849 0.4642 0.7812
O7 0.9308 0.2500 0.0554
O8 0.9312 0.2500 0.6802

# GGA-PBE Y2Th2Sc, optimized geometry
# - DFT formation energy: 3.3 kJ/mol of atoms
# - Uncorrected energy: -33.93 eV/cell
# - Crystal system: monoclinic
data_Y2Th2Sc
_space_group_name_H-M_alt 'P 1'
_space_group_IT_number 1
_cell_length_a 3.5456
_cell_length_b 3.5456
_cell_length_c 14.2077
_cell_angle_alpha 97.24
_cell_angle_beta 97.24
_cell_angle_gamma 60.00
loop_
_space_group_symop_operation_xyz
'x,y,z'
loop_
_atom_site_label
_atom_site_fract_x
_atom_site_fract_y
_atom_site_fract_z
Y1 0.2016 0.2016 0.1078
Y2 0.7984 0.7984 0.8922
Th1 0.3972 0.3972 0.6908
Th2 0.6028 0.6028 0.3092
Sc1 0.0000 0.0000 0.5000

# GGA-PBE TbScTl2, optimized geometry
# - DFT formation energy: -29.6 kJ/mol of atoms
# - Uncorrected energy: -16.92 eV/cell
# - Crystal system: tetragonal
data_TbScTl2
_space_group_name_H-M_alt 'P 1'
_space_group_IT_number 1
_cell_length_a 3.6950
_cell_length_b 3.6950
_cell_length_c 7.4502
_cell_angle_alpha 90.00
_cell_angle_beta 90.00
_cell_angle_gamma 90.00
loop_
_space_group_symop_operation_xyz
'x,y,z'
loop_
_atom_site_label
_atom_site_fract_x
_atom_site_fract_y
_atom_site_fract_z
Tb1 0.0000 0.0000 0.0000
Sc1 0.0000 0.0000 0.5000
Tl1 0.5000 0.5000 0.2664
Tl2 0.5000 0.5000 0.7336

# GGA-PBE CdBrO2, optimized geometry
# - Uncorrected energy: -22.51 eV/cell
# - Formation energy from raw total energies: 0.313 eV/atom
# - Crystal system: tetragonal
data_CdBrO2
_space_group_name_H-M_alt 'P 1'
_space_group_IT_number 1
_cell_length_a 5.3451
_cell_length_b 5.3451
_cell_length_c 5.3451
_cell_angle_alpha 109.01
_cell_angle_beta 109.01
_cell_angle_gamma 110.40
loop_
_space_group_symop_operation_xyz
'x,y,z'
loop_
_atom_site_label
_atom_site_fract_x
_atom_site_fract_y
_atom_site_fract_z
Cd1 0.2500 0.7500 0.5000
Cd2 0.7500 0.2500 0.5000
Br1 0.2500 0.2500 0.0000
Br2 0.7500 0.7500 0.0000
O1 0.1934 0.6934 0.8867
O2 0.3066 0.1934 0.5000
O3 0.6934 0.8066 0.5000
O4 0.8066 0.3066 0.1133

# GGA-PBE Ba3Tl2Cd4, optimized geometry
# - DFT formation energy: -33.0 kJ/mol of atoms
# - Uncorrected energy: -17.24 eV/cell
# - Crystal system: monoclinic
data_Ba3Tl2Cd4
_space_group_name_H-M_alt 'P 1'
_space_group_IT_number 1
_cell_length_a 6.7766
_cell_length_b 6.7766
_cell_length_c 10.0959
_cell_angle_alpha 110.83
_cell_angle_beta 110.83
_cell_angle_gamma 46.09
loop_
_space_group_symop_operation_xyz
'x,y,z'
loop_
_atom_site_label
_atom_site_fract_x
_atom_site_fract_y
_atom_site_fract_z
Ba1 0.0000 0.0000 0.0000
Ba2 0.3430 0.3430 0.3263
Ba3 0.6570 0.6570 0.6737
Tl1 0.3708 0.3708 0.7062
Tl2 0.6292 0.6292 0.2938
Cd1 0.0740 0.0740 0.4084
Cd2 0.2779 0.2779 0.9462
Cd3 0.7221 0.7221 0.0538
Cd4 0.9260 0.9260 0.5916

# GGA-PBE HfMg4Sc, optimized geometry
# - DFT formation energy: 2.3 kJ/mol of atoms
# - Uncorrected energy: -22.52 eV/cell
# - Crystal system: tetragonal
data_HfMg4Sc
_space_group_name_H-M_alt 'P 1'
_space_group_IT_number 1
_cell_length_a 3.1863
_cell_length_b 3.1863
_cell_length_c 13.2713
_cell_angle_alpha 90.00
_cell_angle_beta 90.00
_cell_angle_gamma 90.00
loop_
_space_group_symop_operation_xyz
'x,y,z'
loop_
_atom_site_label
_atom_site_fract_x
_atom_site_fract_y
_atom_site_fract_z
Hf1 0.0000 0.0000 0.0000
Mg1 0.0000 0.0000 0.3299
Mg2 0.0000 0.0000 0.6701
Mg3 0.5000 0.5000 0.1628
Mg4 0.5000 0.5000 0.8372
Sc1 0.5000 0.5000 0.5000

# GGA-PBE PrDyH2, optimized geometry
# - Uncorrected energy: -17.23 eV/cell
# - Crystal system: trigonal
data_PrDyH2
_space_group_name_H-M_alt 'P 1'
_space_group_IT_number 1
_cell_length_a 6.4003
_cell_length_b 6.4003
_cell_length_c 6.4003
_cell_angle_alpha 32.38
_cell_angle_beta 32.38
_cell_angle_gamma 32.38
loop_
_space_group_symop_operation_xyz
'x,y,z'
loop_
_atom_site_label
_atom_site_fract_x
_atom_site_fract_y
_atom_site_fract_z
Pr1 0.0000 0.0000 0.0000
Dy1 0.8215 0.8215 0.8215
H1 0.2200 0.2200 0.2200
H2 0.4203 0.4203 0.4203

# GGA-PBE BaNaPO4, optimized geometry
# - Uncorrected energy: -186.50 eV/cell
# - Formation energy from raw total energies: -2.592 eV/atom
# - Crystal system: orthorhombic
data_BaNaPO4
_space_group_name_H-M_alt 'P 1'
_space_group_IT_number 1
_cell_length_a 8.0009
_cell_length_b 5.4588
_cell_length_c 10.1345
_cell_angle_alpha 90.00
_cell_angle_beta 90.00
_cell_angle_gamma 90.00
loop_
_space_group_symop_operation_xyz
'x,y,z'
loop_
_atom_site_label
_atom_site_fract_x
_atom_site_fract_y
_atom_site_fract_z
Ba1 0.0230 0.2500 0.1883
Ba2 0.4770 0.7500 0.6883
Ba3 0.5230 0.2500 0.3117
Ba4 0.9770 0.7500 0.8117
Na1 0.1109 0.7500 0.4500
Na2 0.3891 0.2500 0.9500
Na3 0.6109 0.7500 0.0500
Na4 0.8891 0.2500 0.5500
P1 0.2468 0.2500 0.5694
P2 0.2532 0.7500 0.0694
P3 0.7468 0.2500 0.9306
P4 0.7532 0.7500 0.4306
O1 0.0608 0.7500 0.0921
O2 0.1664 0.0163 0.6302
O3 0.1664 0.4837 0.6302
O4 0.2074 0.2500 0.4177
O5 0.2926 0.7500 0.9177
O6 0.3336 0.5163 0.1302
O7 0.3336 0.9837 0.1302
O8 0.4392 0.2500 0.5921
O9 0.5608 0.7500 0.4079
O10 0.6664 0.0163 0.8698
O11 0.6664 0.4837 0.8698
O12 0.7074 0.2500 0.0823
O13 0.7926 0.7500 0.5823
O14 0.8336 0.5163 0.3698
O15 0.8336 0.9837 0.3698
O16 0.9392 0.2500 0.9079

# GGA-PBE ScBeNb, optimized geometry
# - DFT formation energy: -0.8 kJ/mol of atoms
# - Uncorrected energy: -40.30 eV/cell
# - Crystal system: monoclinic
data_ScBeNb
_space_group_name_H-M_alt 'P 1'
_space_group_IT_number 1
_cell_length_a 5.2655
_cell_length_b 5.2655
_cell_length_c 5.0016
_cell_angle_alpha 99.28
_cell_angle_beta 99.28
_cell_angle_gamma 129.90
loop_
_space_group_symop_operation_xyz
'x,y,z'
loop_
_atom_site_label
_atom_site_fract_x
_atom_site_fract_y
_atom_site_fract_z
Sc1 0.1498 0.8502 0.0000
Sc2 0.8502 0.1498 0.0000
Be1 0.2510 0.7490 0.5000
Be2 0.7490 0.2510 0.5000
Nb1 0.3348 0.3348 0.6576
Nb2 0.6652 0.6652 0.3424

# GGA-PBE BeCdS3, optimized geometry
# - Uncorrected energy: -15.97 eV/cell
# - Formation energy from raw total energies: 0.211 eV/atom
# - Crystal system: cubic
data_BeCdS3
_space_group_name_H-M_alt 'P 1'
_space_group_IT_number 1
_cell_length_a 4.4186
_cell_length_b 4.4186
_cell_length_c 4.4186
_cell_angle_alpha 90.00
_cell_angle_beta 90.00
_cell_angle_gamma 90.00
loop_
_space_group_symop_operation_xyz
'x,y,z'
loop_
_atom_site_label
_atom_site_fract_x
_atom_site_fract_y
_atom_site_fract_z
Be1 0.0000 0.0000 0.0000
Cd1 0.5000 0.5000 0.5000
S1 0.0000 0.0000 0.5000
S2 0.0000 0.5000 0.0000
S3 0.5000 0.0000 0.0000

# GGA-PBE Ho2In5Hg12, optimized geometry
# - DFT formation energy: -10.5 kJ/mol of atoms
# - Uncorrected energy: -28.55 eV/cell
# - Crystal system: monoclinic
data_Ho2In5Hg12
_space_group_name_H-M_alt 'P 1'
_space_group_IT_number 1
_cell_length_a 11.2838
_cell_length_b 11.2838
_cell_length_c 5.0407
_cell_angle_alpha 102.65
_cell_angle_beta 102.65
_cell_angle_gamma 52.10
loop_
_space_group_symop_operation_xyz
'x,y,z'
loop_
_atom_site_label
_atom_site_fract_x
_atom_site_fract_y
_atom_site_fract_z
Ho1 0.2187 0.7813 0.0000
Ho2 0.7813 0.2187 0.0000
In1 0.0000 0.0000 0.5000
In2 0.2018 0.2018 0.6997
In3 0.3001 0.3001 0.2987
In4 0.6999 0.6999 0.7013
In5 0.7982 0.7982 0.3003
Hg1 0.0702 0.5433 0.8091
Hg2 0.1107 0.1107 0.1088
Hg3 0.1906 0.6304 0.4122
Hg4 0.3696 0.8094 0.5878
Hg5 0.4191 0.4191 0.9195
Hg6 0.4567 0.9298 0.1909
Hg7 0.5433 0.0702 0.8091
Hg8 0.5809 0.5809 0.0805
Hg9 0.6304 0.1906 0.4122
Hg10 0.8094 0.3696 0.5878
Hg11 0.8893 0.8893 0.8912
Hg12 0.9298 0.4567 0.1909

# GGA-PBE As2OsPt, optimized geometry
# - DFT formation energy: 37.1 kJ/mol of atoms
# - Uncorrected energy: -25.03 eV/cell
# - Crystal system: cubic
data_As2OsPt
_space_group_name_H-M_alt 'P 1'
_space_group_IT_number 1
_cell_length_a 4.4820
_cell_length_b 4.4820
_cell_length_c 4.4820
_cell_angle_alpha 60.00
_cell_angle_beta 60.00
_cell_angle_gamma 60.00
loop_
_space_group_symop_operation_xyz
'x,y,z'
loop_
_atom_site_label
_atom_site_fract_x
_atom_site_fract_y
_atom_site_fract_z
As1 0.2500 0.2500 0.2500
As2 0.7500 0.7500 0.7500
Os1 0.0000 0.0000 0.0000
Pt1 0.5000 0.5000 0.5000

# GGA-PBE TlCd5Hg12, optimized geometry
# - DFT formation energy: 2.7 kJ/mol of atoms
# - Uncorrected energy: -10.07 eV/cell
# - Crystal system: monoclinic
data_TlCd5Hg12
_space_group_name_H-M_alt 'P 1'
_space_group_IT_number 1
_cell_length_a 6.2409
_cell_length_b 6.2409
_cell_length_c 15.7095
_cell_angle_alpha 90.06
_cell_angle_beta 90.06
_cell_angle_gamma 129.64
loop_
_space_group_symop_operation_xyz
'x,y,z'
loop_
_atom_site_label
_atom_site_fract_x
_atom_site_fract_y
_atom_site_fract_z
Tl1 0.0000 0.0000 0.0000
Cd1 0.1733 0.8267 0.5000
Cd2 0.3174 0.6826 0.0000
Cd3 0.5000 0.5000 0.5000
Cd4 0.6826 0.3174 0.0000
Cd5 0.8267 0.1733 0.5000
Hg1 0.0873 0.0873 0.6581
Hg2 0.1156 0.7821 0.1746
Hg3 0.2179 0.8844 0.8254
Hg4 0.2512 0.5744 0.3349
Hg5 0.4256 0.7488 0.6651
Hg6 0.4547 0.4547 0.1580
Hg7 0.5453 0.5453 0.8420
Hg8 0.5744 0.2512 0.3349
Hg9 0.7488 0.4256 0.6651
Hg10 0.7821 0.1156 0.1746
Hg11 0.8844 0.2179 0.8254
Hg12 0.9127 0.9127 0.3419

# GGA-PBE SmDy12Co6, optimized geometry
# - DFT formation energy: -13.1 kJ/mol of atoms
# - Uncorrected energy: -105.15 eV/cell
# - Crystal system: cubic
data_SmDy12Co6
_space_group_name_H-M_alt 'P 1'
_space_group_IT_number 1
_cell_length_a 8.4609
_cell_length_b 8.4609
_cell_length_c 8.4609
_cell_angle_alpha 109.47
_cell_angle_beta 109.47
_cell_angle_gamma 109.47
loop_
_space_group_symop_operation_xyz
'x,y,z'
loop_
_atom_site_label
_atom_site_fract_x
_atom_site_fract_y
_atom_site_fract_z
Sm1 0.0000 0.0000 0.0000
Dy1 0.1154 0.8061 0.3093
Dy2 0.1939 0.3093 0.5032
Dy3 0.1939 0.6907 0.8846
Dy4 0.3093 0.1154 0.8061
Dy5 0.3093 0.5032 0.1939
Dy6 0.4968 0.8061 0.6907
Dy7 0.5032 0.1939 0.3093
Dy8 0.6907 0.4968 0.8061
Dy9 0.6907 0.8846 0.1939
Dy10 0.8061 0.3093 0.1154
Dy11 0.8061 0.6907 0.4968
Dy12 0.8846 0.1939 0.6907
Co1 0.1133 0.6133 0.5000
Co2 0.3867 0.5000 0.8867
Co3 0.5000 0.1133 0.6133
Co4 0.5000 0.8867 0.3867
Co5 0.6133 0.5000 0.1133
Co6 0.8867 0.3867 0.5000

# GGA-PBE NaCa4Sm3S8, optimized geometry
# - Uncorrected energy: -88.84 eV/cell
# - Formation energy from raw total energies: -2.021 eV/atom
# - Crystal system: trigonal
data_NaCa4Sm3S8
_space_group_name_H-M_alt 'P 1'
_space_group_IT_number 1
_cell_length_a 8.0621
_cell_length_b 8.0621
_cell_length_c 8.0621
_cell_angle_alpha 59.83
_cell_angle_beta 59.83
_cell_angle_gamma 59.83
loop_
_space_group_symop_operation_xyz
'x,y,z'
loop_
_atom_site_label
_atom_site_fract_x
_atom_site_fract_y
_atom_site_fract_z
Na1 0.0000 0.0000 0.0000
Ca1 0.0000 0.0000 0.5000
Ca2 0.0000 0.5000 0.0000
Ca3 0.5000 0.0000 0.0000
Ca4 0.5000 0.5000 0.5000
Sm1 0.0000 0.5000 0.5000
Sm2 0.5000 0.0000 0.5000
Sm3 0.5000 0.5000 0.0000
S1 0.2498 0.2498 0.2498
S2 0.2521 0.2521 0.7461
S3 0.2521 0.7461 0.2521
S4 0.2539 0.7479 0.7479
S5 0.7461 0.2521 0.2521
S6 0.7479 0.2539 0.7479
S7 0.7479 0.7479 0.2539
S8 0.7502 0.7502 0.7502